Density functional theory data (PBE) for a relaxed NaLi14Au crystal.

Cell: 6.861 6.861 6.698 Å, 90.00 90.00 90.00°
Space group P4/mmm (No. 123)
Unique sites:
Na 0.000 0.000 0.000 (multiplicity 1)
Li 0.000 0.000 0.500 (multiplicity 1)
Li 0.000 0.500 0.000 (multiplicity 2)
Li 0.000 0.500 0.500 (multiplicity 2)
Li 0.272 0.272 0.242 (multiplicity 8)
Li 0.500 0.500 0.500 (multiplicity 1)
Au 0.500 0.500 0.000 (multiplicity 1)

Energy of formation from the pure elements = -0.072 eV/atom

Density functional theory data (PBE) for a relaxed Li7Ag5 crystal.

Cell: 13.540 2.846 10.568 Å, 90.00 99.99 90.00°
Space group C2/m (No. 12)
Unique sites:
Li 0.000 0.000 0.000 (multiplicity 2)
Li 0.012 0.500 0.255 (multiplicity 4)
Li 0.157 0.000 0.653 (multiplicity 4)
Li 0.185 0.500 0.163 (multiplicity 4)
Ag 0.000 0.500 0.500 (multiplicity 2)
Ag 0.159 0.500 0.907 (multiplicity 4)
Ag 0.171 0.000 0.397 (multiplicity 4)

Energy of formation from the pure elements = -0.143 eV/atom

Density functional theory data (PBE) for a relaxed NaCaNdI6 crystal.

Cell: 7.9446 7.9446 14.5329 Å, 90.00 90.00 120.00°
Space group P-31c (No. 163)
Unique sites:
Na 0.0000 0.0000 0.0000 (multiplicity 2)
Ca 0.3333 0.6667 0.2500 (multiplicity 2)
Nd 0.3333 0.6667 0.7500 (multiplicity 2)
I 0.0016 0.3501 0.6270 (multiplicity 12)

E_form (uncorrected) = -12.90 eV/f.u.

Density functional theory data (PBE) for a relaxed ReSb2As crystal.

Cell: 3.2911 3.2911 27.5204 Å, 90.00 90.00 120.00°
Space group R3m (No. 160, hexagonal axes)
Unique sites:
Re 0.0000 0.0000 0.0000 (multiplicity 3)
Sb 0.0000 0.0000 0.2599 (multiplicity 3)
Sb 0.0000 0.0000 0.4903 (multiplicity 3)
As 0.0000 0.0000 0.7275 (multiplicity 3)

E_form (uncorrected) = 1.03 eV/f.u.

Density functional theory data (PBE) for a relaxed CaSmAu4 crystal.

Cell: 3.986 3.986 9.400 Å, 90.00 90.00 90.00°
Space group P4/mmm (No. 123)
Unique sites:
Ca 0.000 0.000 0.000 (multiplicity 1)
Sm 0.500 0.500 0.500 (multiplicity 1)
Au 0.000 0.500 0.253 (multiplicity 4)

Energy of formation from the pure elements = -0.518 eV/atom
Excess energy over the best structure of this formula in the dataset = 230 meV per atom

Density functional theory data (PBE) for a relaxed CrHg2Cl crystal.

Cell: 7.289 7.289 7.289 Å, 90.00 90.00 90.00°
Space group Fm-3m (No. 225)
Unique sites:
Cr 0.000 0.000 0.000 (multiplicity 4)
Hg 0.250 0.250 0.250 (multiplicity 8)
Cl 0.000 0.000 0.500 (multiplicity 4)

E_form (uncorrected) = 1.29 eV/f.u.
Excess energy over the best structure of this formula in the dataset = 419 meV per atom

Density functional theory data (PBE) for a relaxed Tm2ThSc2 crystal.

Cell: 9.042 9.042 3.512 Å, 90.00 90.00 90.00°
Space group P4/mbm (No. 127)
Unique sites:
Tm 0.176 0.324 0.000 (multiplicity 4)
Th 0.000 0.000 0.500 (multiplicity 2)
Sc 0.119 0.619 0.500 (multiplicity 4)

Energy of formation from the pure elements = 0.116 eV/atom
Excess energy over the best structure of this formula in the dataset = 66 meV per atom

Density functional theory data (PBE) for a relaxed Sc2TiGaPd crystal.

Cell: 5.043 5.043 4.721 Å, 90.00 90.00 90.00°
Space group P4/mmm (No. 123)
Unique sites:
Sc 0.000 0.500 0.000 (multiplicity 2)
Ti 0.000 0.000 0.500 (multiplicity 1)
Ga 0.500 0.500 0.500 (multiplicity 1)
Pd 0.000 0.000 0.000 (multiplicity 1)

Energy of formation from the pure elements = 0.122 eV/atom